The following is a DFT calculation (PBE) of an optimized crystal structure of AcInSi2Au5.

Computed properties:
- Electronic total energy: -36.81 eV per cell
- Crystal system: tetragonal
- Formation energy without anion corrections: -0.30 eV/atom

abc: 4.6186 4.6186 9.8860
angles: 90.00 90.00 90.00
Element x y z (fractional)
Ac: 0.0000 0.0000 0.0000
In: 0.0000 0.0000 0.5000
Si: 0.5000 0.5000 0.2393
Si: 0.5000 0.5000 0.7607
Au: 0.0000 0.5000 0.3198
Au: 0.0000 0.5000 0.6802
Au: 0.5000 0.0000 0.3198
Au: 0.5000 0.0000 0.6802
Au: 0.5000 0.5000 0.0000